1.
Compound: Re2BTe
Source: Alexandria via LeMat-Bulk
Functional: PBE-GGA
Structure: optimized geometry

It has space group Fm-3m (No. 225), with a = 6.124 Å, b = 6.124 Å, c = 6.124 Å, α = 90.00°, β = 90.00° and γ = 90.00°. The inequivalent atoms are Re at (0.250, 0.250, 0.250), B at (0.000, 0.000, 0.000) and Te at (0.000, 0.000, 0.500).

For the uncorrected formation energy, the calculation gives 0.975 eV per atom.



2.
Compound: ReB2Te2
Source: Alexandria via LeMat-Bulk
Functional: PBE-GGA
Structure: optimized geometry

It has space group P4/mbm (No. 127), with a = 7.241 Å, b = 7.241 Å, c = 3.298 Å, α = 90.00°, β = 90.00° and γ = 90.00°. The inequivalent atoms are Re at (0.000, 0.000, 0.000), B at (0.196, 0.304, 0.500) and Te at (0.154, 0.654, 0.000).

For the uncorrected formation energy, the calculation gives 1.690 eV per atom.



3.
Compound: ReBTe3
Source: Alexandria via LeMat-Bulk
Functional: PBE-GGA
Structure: optimized geometry

It has space group Pm-3m (No. 221), with a = 4.658 Å, b = 4.658 Å, c = 4.658 Å, α = 90.00°, β = 90.00° and γ = 90.00°. The inequivalent atoms are Re at (0.000, 0.000, 0.000), B at (0.500, 0.500, 0.500) and Te at (0.000, 0.500, 0.500).

For the uncorrected formation energy, the calculation gives 1.392 eV per atom.



4.
Compound: ReBTe2
Source: Alexandria via LeMat-Bulk
Functional: PBE-GGA
Structure: optimized geometry

It has space group R-3m (No. 166, hexagonal axes), with a = 4.1356 Å, b = 4.1356 Å, c = 20.5392 Å, α = 90.00°, β = 90.00° and γ = 120.00°. The inequivalent atoms are Re at (0.0000, 0.0000, 0.0000), B at (0.0000, 0.0000, 0.5000) and Te at (0.0000, 0.0000, 0.3964).

For the uncorrected formation energy, the calculation gives 1.194 eV per atom.